1.
VASP calculation (PBE) on an optimized crystal structure of PrMgCdPd.

Cell and atoms, written as extended XYZ:
```
16
Lattice="7.1572 0.0000 0.0000 0.0000 7.1572 0.0000 0.0000 0.0000 7.1572" Properties=species:S:1:pos:R:3 pbc="T T T"
Pr 0.0000 0.0000 0.0000
Pr 0.0000 3.5786 3.5786
Pr 3.5786 0.0000 3.5786
Pr 3.5786 3.5786 0.0000
Mg 0.0000 0.0000 3.5786
Mg 0.0000 3.5786 0.0000
Mg 3.5786 0.0000 0.0000
Mg 3.5786 3.5786 3.5786
Cd 1.7893 1.7893 1.7893
Cd 1.7893 5.3679 5.3679
Cd 5.3679 1.7893 5.3679
Cd 5.3679 5.3679 1.7893
Pd 1.7893 1.7893 5.3679
Pd 1.7893 5.3679 1.7893
Pd 5.3679 1.7893 1.7893
Pd 5.3679 5.3679 5.3679
```

Properties
* energy: -3.574 eV/atom
* energy relative to the elements: -0.45 eV/atom
* crystal system: cubic

---

2.
VASP calculation (PBE) on an optimized crystal structure of Pr2MgCd2Pd5.

Cell and atoms, written as extended XYZ:
```
20
Lattice="10.5603 0.0000 0.0000 0.0000 10.5603 0.0000 0.0000 0.0000 3.7124" Properties=species:S:1:pos:R:3 pbc="T T T"
Pr 1.7912 3.4890 0.0000
Pr 3.4890 8.7691 0.0000
Pr 7.0713 1.7912 0.0000
Pr 8.7691 7.0713 0.0000
Mg 0.0000 0.0000 0.0000
Mg 5.2801 5.2801 0.0000
Cd 1.3836 6.6637 0.0000
Cd 3.8966 1.3836 0.0000
Cd 6.6637 9.1767 0.0000
Cd 9.1767 3.8966 0.0000
Pd 0.0000 5.2801 1.8562
Pd 0.4100 8.4923 1.8562
Pd 2.0680 0.4100 1.8562
Pd 3.2122 5.6901 1.8562
Pd 4.8702 3.2122 1.8562
Pd 5.2801 0.0000 1.8562
Pd 5.6901 7.3481 1.8562
Pd 7.3481 4.8702 1.8562
Pd 8.4923 10.1503 1.8562
Pd 10.1503 2.0680 1.8562
```

Properties
* energy: -4.382 eV/atom
* energy relative to the elements: -0.49 eV/atom
* crystal system: tetragonal

---

3.
VASP calculation (PBE) on an optimized crystal structure of Pr2Mg2CdPd5.

Cell and atoms, written as extended XYZ:
```
20
Lattice="10.4064 0.0000 0.0000 0.0000 10.4064 0.0000 0.0000 0.0000 3.6785" Properties=species:S:1:pos:R:3 pbc="T T T"
Pr 1.8436 3.3596 0.0000
Pr 3.3596 8.5628 0.0000
Pr 7.0468 1.8436 0.0000
Pr 8.5628 7.0468 0.0000
Mg 1.2691 6.4723 0.0000
Mg 3.9341 1.2691 0.0000
Mg 6.4723 9.1373 0.0000
Mg 9.1373 3.9341 0.0000
Cd 0.0000 0.0000 0.0000
Cd 5.2032 5.2032 0.0000
Pd 0.0000 5.2032 1.8393
Pd 0.6231 8.2971 1.8393
Pd 2.1093 0.6231 1.8393
Pd 3.0939 5.8263 1.8393
Pd 4.5801 3.0939 1.8393
Pd 5.2032 0.0000 1.8393
Pd 5.8263 7.3125 1.8393
Pd 7.3125 4.5801 1.8393
Pd 8.2971 9.7833 1.8393
Pd 9.7833 2.1093 1.8393
```

Properties
* energy: -4.492 eV/atom
* energy relative to the elements: -0.53 eV/atom
* crystal system: tetragonal

---

4.
VASP calculation (PBE) on an optimized crystal structure of Mg5Cd2PdPt2.

Cell and atoms, written as extended XYZ:
```
20
Lattice="11.3869 0.0000 0.0000 0.0000 11.3869 0.0000 0.0000 0.0000 3.0114" Properties=species:S:1:pos:R:3 pbc="T T T"
Mg 0.0000 5.6935 0.0000
Mg 0.5169 2.2041 0.0000
Mg 2.2041 10.8700 0.0000
Mg 3.4893 5.1766 0.0000
Mg 5.1766 7.8976 0.0000
Mg 5.6935 0.0000 0.0000
Mg 6.2103 3.4893 0.0000
Mg 7.8976 6.2103 0.0000
Mg 9.1828 0.5169 0.0000
Mg 10.8700 9.1828 0.0000
Cd 2.0735 7.7670 1.5057
Cd 3.6199 2.0735 1.5057
Cd 7.7670 9.3134 1.5057
Cd 9.3134 3.6199 1.5057
Pd 0.0000 0.0000 1.5057
Pd 5.6935 5.6935 1.5057
Pt 1.5559 4.1376 1.5057
Pt 4.1376 9.8310 1.5057
Pt 7.2494 1.5559 1.5057
Pt 9.8310 7.2494 1.5057
```

Properties
* energy: -3.216 eV/atom
* energy relative to the elements: -0.51 eV/atom
* crystal system: tetragonal

---

5.
VASP calculation (PBE) on an optimized crystal structure of RbMgCdPd2.

Cell and atoms, written as extended XYZ:
```
5
Lattice="5.2175 0.0000 0.0000 0.0000 5.2175 0.0000 0.0000 0.0000 5.9938" Properties=species:S:1:pos:R:3 pbc="T T T"
Rb 0.0000 0.0000 0.0000
Mg 0.0000 0.0000 2.9969
Cd 2.6088 2.6088 2.9969
Pd 0.0000 2.6088 0.0000
Pd 2.6088 0.0000 0.0000
```

Properties
* energy: -1.593 eV/atom
* energy relative to the elements: 1.18 eV/atom
* crystal system: tetragonal

---

6.
VASP calculation (PBE) on an optimized crystal structure of Mg2CdRePd.

Cell and atoms, written as extended XYZ:
```
5
Lattice="4.9028 0.0000 0.0000 0.0000 4.9028 0.0000 0.0000 0.0000 5.0473" Properties=species:S:1:pos:R:3 pbc="T T T"
Mg 0.0000 2.4514 0.0000
Mg 2.4514 0.0000 0.0000
Cd 0.0000 0.0000 0.0000
Re 0.0000 0.0000 2.5236
Pd 2.4514 2.4514 2.5236
```

Properties
* energy: -2.978 eV/atom
* energy relative to the elements: 1.37 eV/atom
* crystal system: tetragonal

---

7.
VASP calculation (PBE) on an optimized crystal structure of Mg5Cd2PdRh2.

Cell and atoms, written as extended XYZ:
```
20
Lattice="10.2051 0.0000 0.0000 0.0000 10.2051 0.0000 0.0000 0.0000 3.5964" Properties=species:S:1:pos:R:3 pbc="T T T"
Mg 0.0000 5.1026 0.0000
Mg 0.7477 1.9909 0.0000
Mg 1.9909 9.4574 0.0000
Mg 3.1117 4.3548 0.0000
Mg 4.3548 7.0934 0.0000
Mg 5.1026 0.0000 0.0000
Mg 5.8503 3.1117 0.0000
Mg 7.0934 5.8503 0.0000
Mg 8.2143 0.7477 0.0000
Mg 9.4574 8.2143 0.0000
Cd 1.7461 6.8487 1.7982
Cd 3.3565 1.7461 1.7982
Cd 6.8487 8.4590 1.7982
Cd 8.4590 3.3565 1.7982
Pd 0.0000 0.0000 1.7982
Pd 5.1026 5.1026 1.7982
Rh 1.2903 3.8122 1.7982
Rh 3.8122 8.9148 1.7982
Rh 6.3929 1.2903 1.7982
Rh 8.9148 6.3929 1.7982
```

Properties
* energy: -3.305 eV/atom
* energy relative to the elements: -0.34 eV/atom
* crystal system: tetragonal

---

8.
VASP calculation (PBE) on an optimized crystal structure of Mg5Cd2Pd2Rh.

Cell and atoms, written as extended XYZ:
```
20
Lattice="11.1579 0.0000 0.0000 0.0000 11.1579 0.0000 0.0000 0.0000 3.0965" Properties=species:S:1:pos:R:3 pbc="T T T"
Mg 0.0000 5.5790 0.0000
Mg 0.5641 2.1027 0.0000
Mg 2.1027 10.5938 0.0000
Mg 3.4763 5.0149 0.0000
Mg 5.0149 7.6817 0.0000
Mg 5.5790 0.0000 0.0000
Mg 6.1431 3.4763 0.0000
Mg 7.6817 6.1431 0.0000
Mg 9.0552 0.5641 0.0000
Mg 10.5938 9.0552 0.0000
Cd 1.9834 7.5624 1.5482
Cd 3.5955 1.9834 1.5482
Cd 7.5624 9.1745 1.5482
Cd 9.1745 3.5955 1.5482
Pd 1.5413 4.0377 1.5482
Pd 4.0377 9.6167 1.5482
Pd 7.1203 1.5413 1.5482
Pd 9.6167 7.1203 1.5482
Rh 0.0000 0.0000 1.5482
Rh 5.5790 5.5790 1.5482
```

Properties
* energy: -3.147 eV/atom
* energy relative to the elements: -0.39 eV/atom
* crystal system: tetragonal